A | The following is a DFT calculation (GGA-PBEsol) of a relaxed structure of NiIrRh.

The mass density comes out at 15.2 g/cm³.

a b c (Å): 4.1355 4.1355 2.6103
angles (deg): 90.00 90.00 120.00
Fractional positions:
Ni (0.0000, 0.0000, 0.0000)
Ir (0.6667, 0.3333, 0.3744)
Rh (0.3333, 0.6667, 0.8713)

=====

B | The following is a DFT calculation (GGA-PBEsol) of a relaxed structure of NiIrRh.

The mass density comes out at 13.7 g/cm³.

a b c (Å): 3.9303 3.9303 3.9303
angles (deg): 60.00 60.00 60.00
Fractional positions:
Ni (0.0000, 0.0000, 0.0000)
Ir (0.7500, 0.7500, 0.7500)
Rh (0.2500, 0.2500, 0.2500)

=====

Most stable one: A, least stable one: B.

=====

A | The following is a DFT calculation (GGA-PBEsol) of a relaxed structure of La2MoW.

The mass density comes out at 10.8 g/cm³.

a b c (Å): 4.0059 4.0059 5.3241
angles (deg): 90.00 90.00 90.00
Fractional positions:
La (0.0000, 0.5000, 0.0000)
La (0.5000, 0.0000, 0.0000)
Mo (0.0000, 0.0000, 0.5000)
W (0.5000, 0.5000, 0.5000)

=====

B | The following is a DFT calculation (GGA-PBEsol) of a relaxed structure of La2MoW.

The mass density comes out at 10.9 g/cm³.

a b c (Å): 11.4240 11.4240 11.4240
angles (deg): 14.84 14.84 14.84
Fractional positions:
La (0.2503, 0.2503, 0.2503)
La (0.7497, 0.7497, 0.7497)
Mo (0.0000, 0.0000, 0.0000)
W (0.5000, 0.5000, 0.5000)

=====

Most stable one: A, least stable one: B.

=====

A | The following is a DFT calculation (GGA-PBEsol) of a relaxed structure of IrOsW2.

The mass density comes out at 21.1 g/cm³.

a b c (Å): 2.7535 3.8913 5.5160
angles (deg): 90.00 90.00 90.00
Fractional positions:
Ir (0.0000, 0.0000, 0.0000)
Os (0.0000, 0.0000, 0.5000)
W (0.5000, 0.5000, 0.2524)
W (0.5000, 0.5000, 0.7476)

=====

B | The following is a DFT calculation (GGA-PBEsol) of a relaxed structure of IrOsW2.

The mass density comes out at 21.1 g/cm³.

a b c (Å): 4.7603 4.7603 4.7603
angles (deg): 131.59 131.59 70.88
Fractional positions:
Ir (0.0000, 0.0000, 0.0000)
Os (0.5000, 0.5000, 0.0000)
W (0.2500, 0.7500, 0.5000)
W (0.7500, 0.2500, 0.5000)

=====

Most stable one: B, least stable one: A.